Density functional theory data (SCAN) for a PBEsol-optimized structure of TiGePCl2.

Output
As for the symmetry: P4/mmm (123). As for the uncorrected formation energy: 130 meV/atom. Its total magnetization is 0.38 μB per atom. For the calculated density, the calculation gives 3.410 Mg/m³.

a b c (Å): 4.7109 4.7109 4.8792
angles (deg): 90.00 90.00 90.00
With the nearest neighbours (Å) after each atom.
Element x y z (fractional)
Ti (0.0000, 0.0000, 0.0000)  4 P 3.33, 8 Cl 3.39
Ge (0.5000, 0.5000, 0.5000)  4 Cl 2.36, 2 P 2.44
P (0.5000, 0.5000, 0.0000)  2 Ge 2.44
Cl (0.0000, 0.5000, 0.5000)  2 Ge 2.36
Cl (0.5000, 0.0000, 0.5000)  2 Ge 2.36